[1]
SrCa2Y: optimized geometry, PBE.

a b c (Å): 7.629 7.629 7.629
angles (deg): 103.09 103.09 123.17
Sites, in units of the cell vectors:
Sr 0.000 0.000 0.000
Sr 0.750 0.250 0.500
Ca 0.131 0.125 0.506
Ca 0.375 0.869 0.994
Ca 0.619 0.625 0.494
Ca 0.875 0.381 0.006
Y 0.250 0.750 0.500
Y 0.500 0.500 0.000

## Properties
E_form, meV per atom: 414
ΔE to the lowest computed polymorph, meV/atom: 318
M_tot, μB/f.u.: 0.000
Symmetry: I-42d (122)

***

[2]
SrCa2Y: optimized geometry, PBE.

a b c (Å): 6.124 6.124 6.124
angles (deg): 60.00 60.00 60.00
Sites, in units of the cell vectors:
Sr 0.000 0.000 0.000
Ca 0.250 0.250 0.250
Ca 0.750 0.750 0.750
Y 0.500 0.500 0.500

## Properties
E_form, meV per atom: 145
ΔE to the lowest computed polymorph, meV/atom: 49
M_tot, μB/f.u.: 0.000
Symmetry: Fm-3m (225)

***

[3]
Sr2Ca2Y: optimized geometry, PBE.

a b c (Å): 10.884 10.884 10.884
angles (deg): 154.90 154.90 35.80
Sites, in units of the cell vectors:
Sr 0.096 0.096 0.000
Sr 0.904 0.904 0.000
Ca 0.250 0.750 0.500
Ca 0.750 0.250 0.500
Y 0.500 0.500 0.000

## Properties
E_form, meV per atom: 386
ΔE to the lowest computed polymorph, meV/atom: 82
M_tot, μB/f.u.: 0.001
Symmetry: I4/mmm (139)

***

> What is the M_tot in the second record?

0.000 μB/f.u.